BeGaGe: optimized geometry, PBE-GGA.

Structure (POSCAR):
```
BeGaGe
1.0
6.8484 0.0000 -0.0026
0.0000 3.9462 0.0000
-0.7049 0.0000 7.2183
Ga Ge Be
4 4 4
direct
0.2379 0.0000 0.9551
0.2379 0.5000 0.4551
0.4045 0.5000 0.7744
0.4045 0.0000 0.2744
0.0032 0.0000 0.3349
0.0032 0.5000 0.8349
0.6905 0.5000 0.0585
0.6905 0.0000 0.5585
0.8928 0.5000 0.5215
0.8928 0.0000 0.0215
0.5896 0.0000 0.8659
0.5896 0.5000 0.3659
```

Summary:
- total DFT energy (no corrections) (eV for the cell shown) = -43.20
- calculated density (g/cm³) = 5.15
- formation energy (eV per atom) = 0.19

---

BeGa2GeI: optimized geometry, PBE-GGA.

Structure (POSCAR):
```
BeGa2GeI
1.0
-3.9417 1.5086 -1.5574
-2.7205 -3.6661 3.3343
-0.1202 3.0743 3.2821
Ga Ge I Be
2 1 1 1
direct
0.5000 0.0000 0.0000
0.0000 0.0000 0.5000
0.5000 0.5000 0.5000
0.0000 0.5000 0.0000
0.0000 0.0000 0.0000
```

Summary:
- total DFT energy (no corrections) (eV for the cell shown) = -13.70
- calculated density (g/cm³) = 5.05
- uncorrected formation energy (eV/atom) = 0.449

---

La2Be4GaGe3: optimized geometry, PBE-GGA.

Structure (POSCAR):
```
La2Be4GaGe3
1.0
4.1538 0.0000 0.0000
0.0000 4.1538 0.0000
0.0000 0.0000 9.7433
Be Ga Ge La
4 1 3 2
direct
0.5000 0.5000 0.0000
0.5000 0.0000 0.6302
0.0000 0.0000 0.0000
0.0000 0.5000 0.3698
0.5000 0.5000 0.5000
0.0000 0.5000 0.1270
0.5000 0.0000 0.8730
0.0000 0.0000 0.5000
0.5000 0.0000 0.2471
0.0000 0.5000 0.7529
```

Summary:
- total DFT energy (no corrections) (eV for the cell shown) = -45.80
- calculated density (g/cm³) = 5.94
- formation energy (eV per atom) = -0.42